# 1
The following is a DFT calculation (GGA-PBE) of an optimized crystal structure of InCuSi.

Its raw formation energy is 34.6 kJ/mol of formula units.

The space group is P1 (No. 1) and the conventional cell measures 3.959, 4.841 and 6.395 Å, with angles of 77.50, 73.90 and 89.60 degrees. The distinct sites, in fractional coordinates, are In at (0.000, 0.000, 0.000), In at (0.452, 0.499, 0.111), Cu at (0.220, 0.246, 0.555), Cu at (0.222, 0.747, 0.553), Si at (0.673, 0.463, 0.663) and Si at (0.768, 0.031, 0.448).

---

# 2
The following is a DFT calculation (GGA-PBE) of an optimized crystal structure of Na5Te2N2.

Its raw formation energy is -383.8 kJ/mol of formula units.

The space group is Amm2 (No. 38) and the conventional cell measures 8.798, 7.304 and 7.732 Å, with angles of 90.00, 90.00 and 90.00 degrees. The distinct sites, in fractional coordinates, are Na at (0.000, 0.000, 0.000), Na at (0.307, 0.226, 0.674), Te at (0.000, 0.000, 0.609), Te at (0.500, 0.000, 0.398) and N at (0.434, 0.000, 0.907).

---

# 3
The following is a DFT calculation (GGA-PBE) of an optimized crystal structure of KMn3Se.

The polymorph energy (0 for the lowest one) is 1393 meV/atom. Its raw formation energy is 1005.8 kJ/mol of formula units.

The space group is Pm-3m (No. 221) and the conventional cell measures 4.964, 4.964 and 4.964 Å, with angles of 90.00, 90.00 and 90.00 degrees. The distinct sites, in fractional coordinates, are K at (0.000, 0.000, 0.000), Mn at (0.000, 0.000, 0.500) and Se at (0.500, 0.500, 0.500).

---

# 4
The following is a DFT calculation (GGA-PBE) of an optimized crystal structure of TaTl2Cl.

The polymorph energy (0 for the lowest one) is 224 meV/atom. Its raw formation energy is 50.1 kJ/mol of formula units.

The space group is Imm2 (No. 44) and the conventional cell measures 3.120, 5.378 and 11.328 Å, with angles of 90.00, 90.00 and 90.00 degrees. The distinct sites, in fractional coordinates, are Ta at (0.000, 0.000, 0.000), Tl at (0.000, 0.000, 0.524), Tl at (0.000, 0.500, 0.735) and Cl at (0.000, 0.500, 0.329).

---

# 5
The following is a DFT calculation (GGA-PBE) of an optimized crystal structure of Rb3CaHg2Cl9.

Its raw formation energy is -2153.4 kJ/mol of formula units.

The space group is P-3m1 (No. 164) and the conventional cell measures 7.6107, 7.6107 and 9.3258 Å, with angles of 90.00, 90.00 and 120.00 degrees. The distinct sites, in fractional coordinates, are Rb at (0.0000, 0.0000, 0.0000), Rb at (0.3333, 0.6667, 0.6758), Ca at (0.0000, 0.0000, 0.5000), Hg at (0.3333, 0.6667, 0.1659), Cl at (0.0000, 0.5000, 0.0000) and Cl at (0.1672, 0.3344, 0.3315).

---

# 6
The following is a DFT calculation (GGA-PBE) of an optimized crystal structure of GaH3O3.

The raw total energy comes out at -5.334 eV/atom.

The space group is R-3 (No. 148, hexagonal axes) and the conventional cell measures 10.6873, 10.6873 and 6.4631 Å, with angles of 90.00, 90.00 and 120.00 degrees. The distinct sites, in fractional coordinates, are Ga at (0.0000, 0.0000, 0.0000), Ga at (0.0000, 0.5000, 0.0000), H at (0.0284, 0.4238, 0.6543), H at (0.0718, 0.1865, 0.7287), O at (0.0142, 0.8514, 0.1764) and O at (0.0494, 0.7774, 0.5925).

---

# 7
The following is a DFT calculation (GGA-PBE) of an optimized crystal structure of PuPaInSn.

The calculation puts the formation energy from the elements at -32 meV/atom.

The space group is F-43m (No. 216) and the conventional cell measures 7.524, 7.524 and 7.524 Å, with angles of 90.00, 90.00 and 90.00 degrees. The distinct sites, in fractional coordinates, are Pu at (0.000, 0.000, 0.000), Pa at (0.000, 0.000, 0.500), In at (0.250, 0.250, 0.750) and Sn at (0.250, 0.250, 0.250).

---

# 8
The following is a DFT calculation (GGA-PBE) of an optimized crystal structure of NdPuAg.

The polymorph energy (0 for the lowest one) is 64 meV/atom. The calculation puts the formation energy from the elements at 129 meV/atom.

The space group is P3m1 (No. 156) and the conventional cell measures 5.2151, 5.2151 and 3.3575 Å, with angles of 90.00, 90.00 and 120.00 degrees. The distinct sites, in fractional coordinates, are Nd at (0.0000, 0.0000, 0.0000), Pu at (0.6667, 0.3333, 0.3900) and Ag at (0.3333, 0.6667, 0.6573).

---

# 9
The following is a DFT calculation (GGA-PBE) of an optimized crystal structure of TlOsN2.

The polymorph energy (0 for the lowest one) is 0 meV/atom. Its raw formation energy is 186.9 kJ/mol of formula units.

The space group is I-42d (No. 122) and the conventional cell measures 6.169, 6.169 and 7.552 Å, with angles of 90.00, 90.00 and 90.00 degrees. The distinct sites, in fractional coordinates, are Tl at (0.000, 0.000, 0.000), Os at (0.000, 0.000, 0.500) and N at (0.080, 0.750, 0.625).

---

# 10
The following is a DFT calculation (GGA-PBE) of an optimized crystal structure of YPb2Se.

Its raw formation energy is -161.8 kJ/mol of formula units.

The space group is I-4m2 (No. 119) and the conventional cell measures 4.556, 4.556 and 10.557 Å, with angles of 90.00, 90.00 and 90.00 degrees. The distinct sites, in fractional coordinates, are Y at (0.000, 0.000, 0.000), Pb at (0.000, 0.000, 0.500), Pb at (0.000, 0.500, 0.750) and Se at (0.000, 0.500, 0.250).

---

# 11
The following is a DFT calculation (GGA-PBE) of an optimized crystal structure of Ce3Pa.

The polymorph energy (0 for the lowest one) is 0 meV/atom. The calculation puts the formation energy from the elements at 41 meV/atom.

The space group is I4/mmm (No. 139) and the conventional cell measures 4.692, 4.692 and 9.352 Å, with angles of 90.00, 90.00 and 90.00 degrees. The distinct sites, in fractional coordinates, are Ce at (0.000, 0.000, 0.000), Ce at (0.000, 0.500, 0.250) and Pa at (0.000, 0.000, 0.500).

---

# 12
The following is a DFT calculation (GGA-PBE) of an optimized crystal structure of Pm6Sm2TmMg.

The calculation puts the formation energy from the elements at 112 meV/atom.

The space group is C2/c (No. 15) and the conventional cell measures 9.248, 15.243 and 9.432 Å, with angles of 90.00, 96.21 and 90.00 degrees. The distinct sites, in fractional coordinates, are Pm at (0.048, 0.180, 0.448), Pm at (0.107, 0.392, 0.610), Pm at (0.215, 0.215, 0.802), Sm at (0.242, 0.449, 0.952), Tm at (0.000, 0.022, 0.750) and Mg at (0.000, 0.414, 0.250).

---

# 13
The following is a DFT calculation (GGA-PBE) of an optimized crystal structure of ScInOs2.

The calculation puts the formation energy from the elements at 214 meV/atom.

The space group is P2/m (No. 10) and the conventional cell measures 2.893, 4.463 and 5.364 Å, with angles of 90.00, 95.09 and 90.00 degrees. The distinct sites, in fractional coordinates, are Sc at (0.000, 0.000, 0.000), In at (0.500, 0.000, 0.500) and Os at (0.254, 0.500, 0.780).

---

# 14
The following is a DFT calculation (GGA-PBE) of an optimized crystal structure of Dy4Cu3Pd.

The calculation puts the formation energy from the elements at -431 meV/atom.

The space group is Pmm2 (No. 25) and the conventional cell measures 3.769, 4.481 and 10.351 Å, with angles of 90.00, 90.00 and 90.00 degrees. The distinct sites, in fractional coordinates, are Dy at (0.000, 0.000, 0.000), Dy at (0.000, 0.500, 0.279), Dy at (0.500, 0.000, 0.498), Dy at (0.500, 0.500, 0.778), Cu at (0.000, 0.500, 0.561), Cu at (0.500, 0.000, 0.211), Cu at (0.500, 0.500, 0.067) and Pd at (0.000, 0.000, 0.717).

---

# 15
The following is a DFT calculation (GGA-PBE) of an optimized crystal structure of ZrMn4Ni.

The calculation puts the formation energy from the elements at 29 meV/atom.

The space group is F-43m (No. 216) and the conventional cell measures 6.747, 6.747 and 6.747 Å, with angles of 90.00, 90.00 and 90.00 degrees. The distinct sites, in fractional coordinates, are Zr at (0.000, 0.000, 0.000), Mn at (0.123, 0.123, 0.623) and Ni at (0.250, 0.250, 0.250).

---

# 16
The following is a DFT calculation (GGA-PBE) of an optimized crystal structure of SrAcAgIr.

The calculation puts the formation energy from the elements at -274 meV/atom.

The space group is F-43m (No. 216) and the conventional cell measures 7.537, 7.537 and 7.537 Å, with angles of 90.00, 90.00 and 90.00 degrees. The distinct sites, in fractional coordinates, are Sr at (0.000, 0.000, 0.000), Ac at (0.000, 0.000, 0.500), Ag at (0.250, 0.250, 0.750) and Ir at (0.250, 0.250, 0.250).

---

# 17
The following is a DFT calculation (GGA-PBE) of an optimized crystal structure of Sm7Cu2Pb2.

The calculation puts the formation energy from the elements at -78 meV/atom.

The space group is Cmmm (No. 65) and the conventional cell measures 8.294, 11.554 and 7.064 Å, with angles of 90.00, 90.00 and 90.00 degrees. The distinct sites, in fractional coordinates, are Sm at (0.000, 0.000, 0.000), Sm at (0.000, 0.500, 0.231), Sm at (0.250, 0.250, 0.255), Cu at (0.000, 0.288, 0.000) and Pb at (0.183, 0.000, 0.500).

---

# 18
The following is a DFT calculation (GGA-PBE) of an optimized crystal structure of RbV2Se2.

The polymorph energy (0 for the lowest one) is 0 meV/atom. Its raw formation energy is -367.0 kJ/mol of formula units.

The space group is I4/mmm (No. 139) and the conventional cell measures 3.725, 3.725 and 15.785 Å, with angles of 90.00, 90.00 and 90.00 degrees. The distinct sites, in fractional coordinates, are Rb at (0.000, 0.000, 0.000), V at (0.000, 0.500, 0.250) and Se at (0.000, 0.000, 0.358).

---

# 19
The following is a DFT calculation (GGA-PBE) of an optimized crystal structure of MgTl9Pb2.

The calculation puts the formation energy from the elements at 17 meV/atom.

The space group is P4/mmm (No. 123) and the conventional cell measures 5.179, 5.179 and 13.369 Å, with angles of 90.00, 90.00 and 90.00 degrees. The distinct sites, in fractional coordinates, are Mg at (0.000, 0.000, 0.000), Tl at (0.000, 0.500, 0.157), Tl at (0.000, 0.500, 0.500), Tl at (0.500, 0.500, 0.000), Tl at (0.500, 0.500, 0.326) and Pb at (0.000, 0.000, 0.327).

---

# 20
The following is a DFT calculation (GGA-PBE) of an optimized crystal structure of LiTbAl.

The polymorph energy (0 for the lowest one) is 0 meV/atom. The calculation puts the formation energy from the elements at -204 meV/atom.

The space group is P-6m2 (No. 187) and the conventional cell measures 4.8550, 4.8550 and 3.2322 Å, with angles of 90.00, 90.00 and 120.00 degrees. The distinct sites, in fractional coordinates, are Li at (0.0000, 0.0000, 0.0000), Tb at (0.6667, 0.3333, 0.5000) and Al at (0.3333, 0.6667, 0.0000).